[1]
Compound: Sc2Mn2Co15
Source: the Alexandria database
Functional: GGA-PBE
Structure: relaxed

Computed properties:
For the density of states at the Fermi level, the calculation gives 17.38 states/eV per cell. As for the electronic total energy: -7.33 eV per atom.

Cell: 6.226 6.226 6.226 Å, 82.74 82.74 82.74°
Sites, in units of the cell vectors:
Sc  0.151  0.151  0.151
Sc  0.849  0.849  0.849
Mn  0.394  0.394  0.394
Mn  0.606  0.606  0.606
Co  0.000  0.500  0.500
Co  0.145  0.145  0.657
Co  0.145  0.657  0.145
Co  0.208  0.500  0.792
Co  0.208  0.792  0.500
Co  0.343  0.855  0.855
Co  0.500  0.000  0.500
Co  0.500  0.208  0.792
Co  0.500  0.500  0.000
Co  0.500  0.792  0.208
Co  0.657  0.145  0.145
Co  0.792  0.208  0.500
Co  0.792  0.500  0.208
Co  0.855  0.343  0.855
Co  0.855  0.855  0.343

---

[2]
Compound: ScMnCo2
Source: the Alexandria database
Functional: GGA-PBE
Structure: relaxed

Computed properties:
For the density of states at the Fermi level, the calculation gives 3.88 states/eV per cell. As for the electronic total energy: -7.39 eV per atom.

Cell: 2.804 4.048 5.064 Å, 90.00 104.95 90.00°
Sites, in units of the cell vectors:
Sc  0.000  0.000  0.000
Mn  0.288  0.500  0.701
Co  0.528  0.000  0.491
Co  0.707  0.500  0.255

---

Copy entry 1 word for word.
Compound: Sc2Mn2Co15
Source: the Alexandria database
Functional: GGA-PBE
Structure: relaxed

Computed properties:
For the density of states at the Fermi level, the calculation gives 17.38 states/eV per cell. As for the electronic total energy: -7.33 eV per atom.

Cell: 6.226 6.226 6.226 Å, 82.74 82.74 82.74°
Sites, in units of the cell vectors:
Sc  0.151  0.151  0.151
Sc  0.849  0.849  0.849
Mn  0.394  0.394  0.394
Mn  0.606  0.606  0.606
Co  0.000  0.500  0.500
Co  0.145  0.145  0.657
Co  0.145  0.657  0.145
Co  0.208  0.500  0.792
Co  0.208  0.792  0.500
Co  0.343  0.855  0.855
Co  0.500  0.000  0.500
Co  0.500  0.208  0.792
Co  0.500  0.500  0.000
Co  0.500  0.792  0.208
Co  0.657  0.145  0.145
Co  0.792  0.208  0.500
Co  0.792  0.500  0.208
Co  0.855  0.343  0.855
Co  0.855  0.855  0.343

---

> Which value of electronic total energy does entry 2 give?

-7.39 eV per atom

---

> Which of these has the highest electronic total energy?

Sc2Mn2Co15

---

What did the first record say?
Compound: Sc2Mn2Co15
Source: the Alexandria database
Functional: GGA-PBE
Structure: relaxed

Computed properties:
For the density of states at the Fermi level, the calculation gives 17.38 states/eV per cell. As for the electronic total energy: -7.33 eV per atom.

Cell: 6.226 6.226 6.226 Å, 82.74 82.74 82.74°
Sites, in units of the cell vectors:
Sc  0.151  0.151  0.151
Sc  0.849  0.849  0.849
Mn  0.394  0.394  0.394
Mn  0.606  0.606  0.606
Co  0.000  0.500  0.500
Co  0.145  0.145  0.657
Co  0.145  0.657  0.145
Co  0.208  0.500  0.792
Co  0.208  0.792  0.500
Co  0.343  0.855  0.855
Co  0.500  0.000  0.500
Co  0.500  0.208  0.792
Co  0.500  0.500  0.000
Co  0.500  0.792  0.208
Co  0.657  0.145  0.145
Co  0.792  0.208  0.500
Co  0.792  0.500  0.208
Co  0.855  0.343  0.855
Co  0.855  0.855  0.343